The following is a DFT calculation (PBE) of an optimized crystal structure of TaMnSn2Bi.

It has space group P4/mmm (No. 123), with a = 5.179 Å, b = 5.179 Å, c = 5.383 Å, α = 90.00°, β = 90.00° and γ = 90.00°. The asymmetric unit holds Ta at (0.000, 0.000, 0.000), Mn at (0.500, 0.500, 0.500), Sn at (0.000, 0.500, 0.500) and Bi at (0.500, 0.500, 0.000).

The value obtained for the total energy is -5.355 eV/atom. As for the formation energy: 1.227 eV/atom.


The following is a DFT calculation (PBE) of an optimized crystal structure of MnSn2BiTe5.

It has space group Cmc2_1 (No. 36), with a = 4.362 Å, b = 19.178 Å, c = 13.811 Å, α = 90.00°, β = 90.00° and γ = 90.00°. The asymmetric unit holds Mn at (0.000, 0.027, 0.000), Sn at (0.000, 0.371, 0.888), Sn at (0.000, 0.389, 0.243), Bi at (0.000, 0.289, 0.570), Te at (0.000, 0.030, 0.324), Te at (0.000, 0.107, 0.571), Te at (0.000, 0.152, 0.910), Te at (0.000, 0.231, 0.225) and Te at (0.000, 0.441, 0.608).

The value obtained for the total energy is -4.248 eV/atom. The formation energy from raw total energies is -0.163 eV/atom.


The following is a DFT calculation (PBE) of an optimized crystal structure of SrMn3Bi.

It has space group Pm-3m (No. 221), with a = 5.201 Å, b = 5.201 Å, c = 5.201 Å, α = 90.00°, β = 90.00° and γ = 90.00°. The asymmetric unit holds Sr at (0.000, 0.000, 0.000), Mn at (0.000, 0.500, 0.500) and Bi at (0.500, 0.500, 0.500).

The value obtained for the total energy is -5.727 eV/atom. The polymorph energy (0 for the lowest one) comes out at 0.0 meV per atom. As for the formation energy: 0.887 eV/atom.


The following is a DFT calculation (PBE) of an optimized crystal structure of Sr3MnBi.

It has space group Pm-3m (No. 221), with a = 5.745 Å, b = 5.745 Å, c = 5.745 Å, α = 90.00°, β = 90.00° and γ = 90.00°. The asymmetric unit holds Sr at (0.000, 0.000, 0.500), Mn at (0.000, 0.000, 0.000) and Bi at (0.500, 0.500, 0.500).

The value obtained for the total energy is -3.421 eV/atom. The polymorph energy (0 for the lowest one) comes out at 0.0 meV per atom. As for the formation energy: 0.198 eV/atom.